# 1
# PrYH2I4

An optimized crystal structure of PrYH2I4 (GGA-PBE, the Open Quantum Materials Database).

Structure (POSCAR):
```
PrYH2I4
1.0
4.085 0.000 0.000
-2.043 3.538 0.000
0.000 0.000 16.663
Pr Y H I
1 1 2 4
direct
0.000 0.000 0.000 Pr
0.000 0.000 0.500 Y
0.333 0.667 0.000 H
0.667 0.333 0.500 H
0.333 0.667 0.375 I
0.333 0.667 0.625 I
0.667 0.333 0.132 I
0.667 0.333 0.868 I
```

Final energy, eV per formula unit: -33.809
V, Å³/cell: 240.8

=====

# 2
# PrSiIr3

An optimized crystal structure of PrSiIr3 (GGA-PBE, the Open Quantum Materials Database).

Structure (POSCAR):
```
PrSiIr3
1.0
4.126 0.000 0.000
0.000 4.126 0.000
0.000 0.000 5.310
Pr Si Ir
1 1 3
direct
0.000 0.000 0.000 Pr
0.500 0.500 0.739 Si
0.000 0.500 0.496 Ir
0.500 0.000 0.496 Ir
0.500 0.500 0.173 Ir
```

Final energy, eV per formula unit: -39.938
V, Å³/cell: 90.4

=====

# 3
# TaNiBPt

An optimized crystal structure of TaNiBPt (GGA-PBE, the Open Quantum Materials Database).

Structure (POSCAR):
```
TaNiBPt
1.0
0.000 2.977 2.977
2.977 0.000 2.977
2.977 2.977 0.000
Ta Ni B Pt
1 1 1 1
direct
0.000 0.000 0.000 Ta
0.500 0.500 0.500 Ni
0.250 0.250 0.250 B
0.750 0.750 0.750 Pt
```

Energy above the lowest structure with this stoichiometry, meV/atom: 168
Final energy, eV per formula unit: -29.634
V, Å³/cell: 52.8